Arrangement one

This record from the Alexandria database describes a relaxed LiScMn2C crystal. The functional is PBE.

a = 3.789 Å, b = 3.789 Å, c = 4.463 Å
α = 90.00°, β = 90.00°, γ = 90.00°
Positions (direct):
Li 0.000 0.000 0.000
Sc 0.500 0.500 0.000
Mn 0.000 0.500 0.500
Mn 0.500 0.000 0.500
C 0.500 0.500 0.500

space-group type: No. 123



Arrangement two

This record from the Alexandria database describes a relaxed LiScMn2C crystal. The functional is PBE.

a = 3.870 Å, b = 3.870 Å, c = 4.095 Å
α = 90.00°, β = 90.00°, γ = 90.00°
Positions (direct):
Li 0.000 0.000 0.000
Sc 0.500 0.500 0.000
Mn 0.000 0.500 0.500
Mn 0.500 0.000 0.500
C 0.000 0.000 0.500

space-group type: No. 123



Stability summary - winner: arrangement two; margin: 8.9 kJ/mol of atoms.



Arrangement one

This record from the Alexandria database describes a relaxed LiC2N2 crystal. The functional is PBE.

a = 6.216 Å, b = 6.216 Å, c = 3.483 Å
α = 94.50°, β = 94.50°, γ = 106.57°
Positions (direct):
Li 0.138 0.862 0.000
Li 0.862 0.138 0.000
C 0.359 0.359 0.303
C 0.382 0.618 0.500
C 0.618 0.382 0.500
C 0.641 0.641 0.697
N 0.208 0.208 0.134
N 0.261 0.739 0.500
N 0.739 0.261 0.500
N 0.792 0.792 0.866

space-group type: No. 12



Arrangement two

This record from the Alexandria database describes a relaxed LiC2N2 crystal. The functional is PBE.

a = 3.634 Å, b = 3.634 Å, c = 3.634 Å
α = 126.27°, β = 126.27°, γ = 79.44°
Positions (direct):
Li 0.000 0.000 0.000
C 0.355 0.355 0.000
C 0.645 0.645 0.000
N 0.250 0.750 0.500
N 0.750 0.250 0.500

space-group type: No. 139



Stability summary - winner: arrangement one; margin: 128.9 kJ/mol of atoms.



Arrangement one

This record from the Alexandria database describes a relaxed LiC3N crystal. The functional is PBE.

a = 3.477 Å, b = 3.477 Å, c = 3.477 Å
α = 90.00°, β = 90.00°, γ = 90.00°
Positions (direct):
Li 0.000 0.000 0.000
C 0.000 0.500 0.500
C 0.500 0.000 0.500
C 0.500 0.500 0.000
N 0.500 0.500 0.500

space-group type: No. 221



Arrangement two

This record from the Alexandria database describes a relaxed LiC3N crystal. The functional is PBE.

a = 3.591 Å, b = 3.591 Å, c = 3.591 Å
α = 90.00°, β = 90.00°, γ = 90.00°
Positions (direct):
Li 0.000 0.000 0.000
C 0.000 0.000 0.500
C 0.000 0.500 0.000
C 0.500 0.000 0.000
N 0.500 0.500 0.500

space-group type: No. 221



Stability summary - winner: arrangement one; margin: 85.7 kJ/mol of atoms.



Arrangement one

This record from the Alexandria database describes a relaxed Li3CN3 crystal. The functional is PBE.

a = 5.253 Å, b = 5.253 Å, c = 5.253 Å
α = 116.45°, β = 116.45°, γ = 116.45°
Positions (direct):
Li 0.015 0.492 0.492
Li 0.492 0.015 0.492
Li 0.492 0.492 0.015
C 0.165 0.165 0.165
N 0.083 0.083 0.345
N 0.083 0.345 0.083
N 0.345 0.083 0.083

space-group type: No. 160



Arrangement two

This record from the Alexandria database describes a relaxed Li3CN3 crystal. The functional is PBE.

a = 6.299 Å, b = 6.299 Å, c = 4.123 Å
α = 90.00°, β = 90.00°, γ = 120.00°
Positions (direct):
Li 0.169 0.338 0.250
Li 0.169 0.831 0.250
Li 0.338 0.169 0.750
Li 0.662 0.831 0.250
Li 0.831 0.169 0.750
Li 0.831 0.662 0.750
C 0.333 0.667 0.750
C 0.667 0.333 0.250
N 0.210 0.420 0.750
N 0.210 0.790 0.750
N 0.420 0.210 0.250
N 0.580 0.790 0.750
N 0.790 0.210 0.250
N 0.790 0.580 0.250

space-group type: No. 194



Stability summary - winner: arrangement two; margin: 0.9 kJ/mol of atoms.



Arrangement one

This record from the Alexandria database describes a relaxed LiCS2N crystal. The functional is PBE.

a = 5.604 Å, b = 5.604 Å, c = 2.433 Å
α = 90.00°, β = 90.00°, γ = 90.00°
Positions (direct):
Li 0.000 0.000 0.000
C 0.500 0.500 0.500
S 0.000 0.500 0.500
S 0.500 0.000 0.500
N 0.500 0.500 0.000

space-group type: No. 123



Arrangement two

This record from the Alexandria database describes a relaxed LiCS2N crystal. The functional is PBE.

a = 4.366 Å, b = 4.366 Å, c = 3.386 Å
α = 90.00°, β = 90.00°, γ = 90.00°
Positions (direct):
Li 0.000 0.000 0.000
C 0.500 0.500 0.500
S 0.000 0.500 0.000
S 0.500 0.000 0.000
N 0.000 0.000 0.500

space-group type: No. 123



Stability summary - winner: arrangement one; margin: 184.7 kJ/mol of atoms.



Arrangement one

This record from the Alexandria database describes a relaxed LiCSN2 crystal. The functional is PBE.

a = 3.196 Å, b = 3.196 Å, c = 7.485 Å
α = 90.00°, β = 90.00°, γ = 90.00°
Positions (direct):
Li 0.000 0.000 0.000
C 0.500 0.500 0.500
S 0.000 0.000 0.500
N 0.000 0.500 0.000
N 0.500 0.000 0.000

space-group type: No. 123



Arrangement two

This record from the Alexandria database describes a relaxed LiCSN2 crystal. The functional is PBE.

a = 3.023 Å, b = 3.023 Å, c = 7.704 Å
α = 90.00°, β = 90.00°, γ = 90.00°
Positions (direct):
Li 0.000 0.000 0.000
C 0.500 0.500 0.500
S 0.500 0.500 0.000
N 0.000 0.500 0.500
N 0.500 0.000 0.500

space-group type: No. 123



Stability summary - winner: arrangement two; margin: 115.2 kJ/mol of atoms.



Arrangement one

This record from the Alexandria database describes a relaxed LiTe2CN crystal. The functional is PBE.

a = 6.236 Å, b = 6.236 Å, c = 2.640 Å
α = 90.00°, β = 90.00°, γ = 90.00°
Positions (direct):
Li 0.000 0.000 0.000
Te 0.000 0.500 0.500
Te 0.500 0.000 0.500
C 0.500 0.500 0.500
N 0.500 0.500 0.000

space-group type: No. 123



Arrangement two

This record from the Alexandria database describes a relaxed LiTe2CN crystal. The functional is PBE.

a = 4.901 Å, b = 4.901 Å, c = 3.420 Å
α = 90.00°, β = 90.00°, γ = 90.00°
Positions (direct):
Li 0.000 0.000 0.000
Te 0.000 0.500 0.000
Te 0.500 0.000 0.000
C 0.500 0.500 0.500
N 0.000 0.000 0.500

space-group type: No. 123



Stability summary - winner: arrangement one; margin: 123.0 kJ/mol of atoms.



Arrangement one

This record from the Alexandria database describes a relaxed NaLiRh2C crystal. The functional is PBE.

a = 3.988 Å, b = 3.988 Å, c = 4.681 Å
α = 90.00°, β = 90.00°, γ = 90.00°
Positions (direct):
Na 0.000 0.000 0.000
Li 0.500 0.500 0.000
Rh 0.000 0.500 0.500
Rh 0.500 0.000 0.500
C 0.000 0.000 0.500

space-group type: No. 123



Arrangement two

This record from the Alexandria database describes a relaxed NaLiRh2C crystal. The functional is PBE.

a = 4.006 Å, b = 4.006 Å, c = 4.427 Å
α = 90.00°, β = 90.00°, γ = 90.00°
Positions (direct):
Na 0.000 0.000 0.000
Li 0.500 0.500 0.000
Rh 0.000 0.500 0.500
Rh 0.500 0.000 0.500
C 0.500 0.500 0.500

space-group type: No. 123



Stability summary - winner: arrangement two; margin: 7.9 kJ/mol of atoms.